No. 1
The following is a DFT calculation (PBE) of a relaxed Y3H12Ru5 crystal.

Lattice parameters (Å, degrees): 9.9247 9.9247 9.9247 109.47 109.47 109.47
Closest atoms and distances in Å follow each position.
Fractional coordinates of all 80 atoms:
Y 0.7500 0.3750 0.1250  8 H 2.26-2.30
Y 0.8750 0.7500 0.1250  8 H 2.26-2.30
Y 0.3750 0.7500 0.6250  8 H 2.26-2.30
Y 0.2500 0.1250 0.3750  8 H 2.26-2.30
Y 0.8750 0.1250 0.2500  8 H 2.26-2.30
Y 0.3750 0.6250 0.2500  8 H 2.26-2.30
Y 0.6250 0.3750 0.7500  8 H 2.26-2.30
Y 0.1250 0.8750 0.7500  8 H 2.26-2.30
Y 0.7500 0.8750 0.6250  8 H 2.26-2.30
Y 0.6250 0.2500 0.3750  8 H 2.26-2.30
Y 0.1250 0.2500 0.8750  8 H 2.26-2.30
Y 0.2500 0.6250 0.8750  8 H 2.26-2.30
Ru 0.1250 0.3750 0.2500  4 H 1.76
Ru 0.0000 0.5000 0.0000  6 H 1.78
Ru 0.0000 0.0000 0.0000  6 H 1.78
Ru 0.3750 0.2500 0.1250  4 H 1.76
Ru 0.5000 0.0000 0.5000  6 H 1.78
Ru 0.5000 0.5000 0.0000  6 H 1.78
Ru 0.1250 0.7500 0.3750  4 H 1.76
Ru 0.7500 0.1250 0.8750  4 H 1.76
Ru 0.7500 0.6250 0.3750  4 H 1.76
Ru 0.3750 0.1250 0.7500  4 H 1.76
Ru 0.6250 0.8750 0.2500  4 H 1.76
Ru 0.5000 0.5000 0.5000  6 H 1.78
Ru 0.5000 0.0000 0.0000  6 H 1.78
Ru 0.0000 0.0000 0.5000  6 H 1.78
Ru 0.2500 0.3750 0.6250  4 H 1.76
Ru 0.2500 0.8750 0.1250  4 H 1.76
Ru 0.0000 0.5000 0.5000  6 H 1.78
Ru 0.8750 0.2500 0.6250  4 H 1.76
Ru 0.6250 0.7500 0.8750  4 H 1.76
Ru 0.8750 0.6250 0.7500  4 H 1.76
H 0.6972 0.1072 0.0233  2 Ru 1.76-1.78
H 0.3261 0.5233 0.4161  2 Ru 1.76-1.78
H 0.9767 0.3928 0.3028  2 Ru 1.76-1.78
H 0.5233 0.1972 0.1072  2 Ru 1.76-1.78
H 0.5900 0.6972 0.6739  2 Ru 1.76-1.78
H 0.9767 0.5839 0.1739  2 Ru 1.76-1.78
H 0.3261 0.8028 0.4100  2 Ru 1.76-1.78
H 0.0839 0.9100 0.1072  2 Ru 1.76-1.78
H 0.5839 0.9767 0.6739  2 Ru 1.76-1.78
H 0.6972 0.5900 0.1739  2 Ru 1.76-1.78
H 0.8028 0.4767 0.3928  2 Ru 1.76-1.78
H 0.8261 0.9161 0.0233  2 Ru 1.76-1.78
H 0.1072 0.6972 0.5233  2 Ru 1.76-1.78
H 0.3928 0.4161 0.0900  2 Ru 1.76-1.78
H 0.0900 0.9161 0.3928  2 Ru 1.76-1.78
H 0.4100 0.1072 0.5839  2 Ru 1.76-1.78
H 0.0900 0.1739 0.1972  2 Ru 1.76-1.78
H 0.4767 0.6739 0.0839  2 Ru 1.76-1.78
H 0.8261 0.9100 0.3028  2 Ru 1.76-1.78
H 0.1072 0.4100 0.0839  2 Ru 1.76-1.78
H 0.3928 0.9767 0.8028  2 Ru 1.76-1.78
H 0.5839 0.6072 0.4100  2 Ru 1.76-1.78
H 0.9161 0.8261 0.5233  2 Ru 1.76-1.78
H 0.8028 0.3261 0.9100  2 Ru 1.76-1.78
H 0.4161 0.3928 0.5900  2 Ru 1.76-1.78
H 0.0839 0.1739 0.4767  2 Ru 1.76-1.78
H 0.1972 0.6739 0.0900  2 Ru 1.76-1.78
H 0.1739 0.0900 0.6972  2 Ru 1.76-1.78
H 0.6072 0.0233 0.1972  2 Ru 1.76-1.78
H 0.8928 0.5900 0.9161  2 Ru 1.76-1.78
H 0.5233 0.3261 0.9161  2 Ru 1.76-1.78
H 0.5900 0.8928 0.4161  2 Ru 1.76-1.78
H 0.9100 0.8261 0.8028  2 Ru 1.76-1.78
H 0.9100 0.0839 0.6072  2 Ru 1.76-1.78
H 0.8928 0.3028 0.4767  2 Ru 1.76-1.78
H 0.1739 0.0839 0.9767  2 Ru 1.76-1.78
H 0.6072 0.5839 0.9100  2 Ru 1.76-1.78
H 0.4161 0.0233 0.3261  2 Ru 1.76-1.78
H 0.3028 0.4100 0.8261  2 Ru 1.76-1.78
H 0.1972 0.5233 0.6072  2 Ru 1.76-1.78
H 0.9161 0.0900 0.8928  2 Ru 1.76-1.78
H 0.6739 0.1972 0.5900  2 Ru 1.76-1.78
H 0.4767 0.8028 0.8928  2 Ru 1.76-1.78
H 0.0233 0.4161 0.8261  2 Ru 1.76-1.78
H 0.4100 0.3028 0.3261  2 Ru 1.76-1.78
H 0.0233 0.6072 0.6972  2 Ru 1.76-1.78
H 0.6739 0.4767 0.5839  2 Ru 1.76-1.78
H 0.3028 0.8928 0.9767  2 Ru 1.76-1.78

Summary:
* calculated volume: 752.5 Å³ per cell
* M_tot: 0.00 μB/cell
* space group: No. 230
* final energy: -5.5426 eV/atom

***

No. 2
The following is a DFT calculation (PBE) of a relaxed YH4Ru crystal.

Lattice parameters (Å, degrees): 5.6114 6.1056 5.2065 104.77 100.27 127.96
Closest atoms and distances in Å follow each position.
Fractional coordinates of all 12 atoms:
Y 0.3853 0.6353 0.2706  6 H 2.20-2.43
Y 0.6147 0.3647 0.7294  6 H 2.20-2.43
H 0.9309 0.2713 0.8477  1 Ru 1.70
H 0.9063 0.8724 0.7438  1 Ru 1.75
H 0.4168 0.5765 0.8477  1 Ru 1.70
H 0.3375 0.8714 0.7438  1 Ru 1.75
H 0.6625 0.1286 0.2562  1 Ru 1.75
H 0.5832 0.4235 0.1523  1 Ru 1.70
H 0.0937 0.1276 0.2562  1 Ru 1.75
H 0.0691 0.7287 0.1523  1 Ru 1.70
Ru 0.2993 0.0493 0.0986  4 H 1.70-1.75
Ru 0.7007 0.9507 0.9014  4 H 1.70-1.75

Summary:
* E above lowest polymorph: 0.0000 eV/atom
* calculated volume: 122.2 Å³ per cell
* M_tot: 0.00 μB/cell
* space group: No. 15
* final energy: -5.2536 eV/atom

***

No. 3
The following is a DFT calculation (PBE) of a relaxed Y2H7Ru2 crystal.

Lattice parameters (Å, degrees): 4.4985 4.7686 4.7686 84.05 90.03 90.03
Closest atoms and distances in Å follow each position.
Fractional coordinates of all 11 atoms:
Y 0.5000 0.2387 0.7613  6 H 2.16-2.21
Y 0.5000 0.7613 0.2387  6 H 2.16-2.21
H 0.2060 0.9998 0.4998  2 Ru 1.85, 1 H 1.85
H 0.7940 0.5002 0.0002  2 Ru 1.85, 1 H 1.85
H 0.7940 0.0002 0.5002  2 Ru 1.85, 1 H 1.85
H 0.2060 0.4998 0.9998  2 Ru 1.85, 1 H 1.85
H 0.0000 0.0000 0.0000  2 Ru 1.85
H 0.8060 0.5000 0.5000  1 H 1.75, 2 Ru 1.90
H 0.1940 0.5000 0.5000  1 H 1.75, 2 Ru 1.90
Ru 0.0003 0.2614 0.2614  7 H 1.85-1.90
Ru 0.9997 0.7386 0.7386  7 H 1.85-1.90

Summary:
* calculated volume: 101.7 Å³ per cell
* M_tot: 0.00 μB/cell
* space group: No. 65
* final energy: -5.3039 eV/atom

***

> What is the final energy in the second record?

-5.2536 eV/atom

***

> Look up the final energy of the second one.

-5.2536 eV/atom